# 1
First-principles (GGA-PBE) data for NaPm2RuO8 after structural relaxation, as listed in the Alexandria database.

Computed properties:
Formation energy without anion corrections   -21.85 eV/f.u.
Space group   P-1, No. 2

Cell lengths 5.1950, 4.2594, 7.1728 Å; angles 75.15, 90.02, 90.10 degrees
Fractional positions:
O 0.6856 0.8215 0.9074
O 0.2149 0.7744 0.8782
O 0.7851 0.2256 0.1218
Pm 0.4872 0.6203 0.2149
Na 0.0000 0.0000 0.5000
O 0.9859 0.3367 0.7604
O 0.5343 0.8327 0.4971
Ru 0.0000 0.0000 0.0000
Pm 0.5128 0.3797 0.7851
O 0.0141 0.6633 0.2396
O 0.4657 0.1673 0.5029
O 0.3144 0.1785 0.0926

# 2
First-principles (GGA-PBE) data for NaPmRuO4 after structural relaxation, as listed in the Alexandria database.

Computed properties:
Formation energy without anion corrections   -13.22 eV/f.u.
Space group   Imma, No. 74

Cell lengths 6.4474, 6.6324, 7.1679 Å; angles 122.71, 90.00, 119.08 degrees
Fractional positions:
Pm 0.5000 0.0000 0.5000
O 0.2430 0.9411 0.7205
Ru 0.0000 0.5000 0.5000
Pm 0.5000 0.0000 0.0000
Na 0.8824 0.7648 0.1324
O 0.7541 0.5081 0.6900
O 0.6981 0.9411 0.7205
Ru 0.5000 0.5000 0.5000
Na 0.1176 0.2352 0.8676
O 0.2459 0.4919 0.3100
O 0.3019 0.0589 0.2795
O 0.2459 0.4919 0.6819
O 0.7570 0.0589 0.2795
O 0.7541 0.5081 0.3181

# 3
First-principles (GGA-PBE) data for Na3Pm3RuO8 after structural relaxation, as listed in the Alexandria database.

Computed properties:
Formation energy without anion corrections   -34.14 eV/f.u.
Space group   R-3m, No. 166

Cell lengths 6.8949, 6.8954, 6.8477 Å; angles 120.22, 90.00, 120.00 degrees
Fractional positions:
Pm 0.5000 0.0000 0.5000
Pm 0.0000 0.5000 0.5000
Na 0.0000 0.0000 0.0000
O 0.2151 0.9855 0.7007
O 0.7704 0.9855 0.7007
O 0.7849 0.5698 0.2994
O 0.2151 0.4302 0.7006
Ru 0.0000 0.0000 0.5000
O 0.7849 0.0145 0.2993
O 0.2609 0.5217 0.2826
Na 0.5000 0.5000 0.0000
O 0.2296 0.0145 0.2993
Pm 0.5000 0.5000 0.5000
O 0.7391 0.4783 0.7174
Na 0.0000 0.5000 0.0000

# 4
First-principles (GGA-PBE) data for Na2Pm2RuO6 after structural relaxation, as listed in the Alexandria database.

Computed properties:
Formation energy without anion corrections   -23.27 eV/f.u.
Space group   C2/m, No. 12

Cell lengths 5.9071, 5.9071, 5.8908 Å; angles 96.78, 96.78, 120.08 degrees
Fractional positions:
Ru 0.0000 0.0000 0.5000
Pm 0.3377 0.6623 0.5000
O 0.7561 0.7561 0.7039
Pm 0.6623 0.3377 0.5000
O 0.2439 0.2439 0.2961
O 0.0358 0.3401 0.6904
Na 0.8634 0.1366 0.0000
Na 0.1366 0.8634 0.0000
O 0.6599 0.9642 0.3096
O 0.9642 0.6599 0.3096
O 0.3401 0.0358 0.6904

Number 1: total moment 0.95 μB/f.u., energy -81.61 eV for the cell shown. Number 2: total moment 2.01 μB/f.u., energy -96.80 eV for the cell shown. Number 3: total moment 2.00 μB/f.u., energy -101.29 eV for the cell shown. Number 4: total moment 2.00 μB/f.u., energy -74.44 eV for the cell shown.